1.
This record from Alexandria via LeMat-Bulk describes crystalline Gd2PaAg at its relaxed geometry. The functional is GGA-PBE.

Computed properties:
The calculation puts the spin magnetization at 14.11 Bohr magnetons per cell. The calculation puts the energy above the lowest structure with this stoichiometry at 0.000 eV/atom.

The structure in POSCAR format:
```
Gd2PaAg
1.0
3.4537 0.0000 0.0000
0.0000 3.4537 0.0000
0.0000 0.0000 8.7474
Gd Pa Ag
2 1 1
Cartesian
0.0000 0.0000 2.0419
0.0000 0.0000 6.7055
1.7269 1.7269 4.3737
1.7269 1.7269 0.0000
```

***

2.
This record from Alexandria via LeMat-Bulk describes crystalline Ce2HoOs2 at its relaxed geometry. The functional is GGA-PBE.

Computed properties:
The calculation puts the spin magnetization at 0.00 Bohr magnetons per cell. As for the final energy: -0.2919 Ha/atom.

The structure in POSCAR format:
```
Ce2HoOs2
1.0
-1.3042 -2.8166 3.5090
-3.4465 -2.3406 -3.1598
6.1571 -7.2815 -3.5564
Os Ce Ho
4 4 2
Cartesian
4.3478 -8.4378 -3.5934
-2.9414 -4.0009 0.3862
0.1695 -5.5254 0.3187
1.2369 -6.9133 -3.5259
-0.6901 -3.1822 1.8802
-0.8116 -7.2547 -1.4340
2.2180 -5.1840 -1.7732
2.0965 -9.2565 -5.0873
-0.8798 -3.5486 -1.6118
2.2861 -8.8901 -1.5954
```

***

3.
This record from Alexandria via LeMat-Bulk describes crystalline Ti2NiPtC at its relaxed geometry. The functional is GGA-PBE.

Computed properties:
The calculation puts the spin magnetization at 0.00 Bohr magnetons per cell. As for the final energy: -0.2928 Ha/atom.

The structure in POSCAR format:
```
Ti2NiPtC
1.0
4.1689 0.0000 0.0000
0.0000 4.1689 0.0000
0.0000 0.0000 3.7634
Ti Ni C Pt
2 1 1 1
Cartesian
0.0000 2.0845 0.0000
2.0845 0.0000 0.0000
0.0000 0.0000 1.8817
0.0000 0.0000 0.0000
2.0845 2.0845 1.8817
```